1.
{"formula": "Cs3Co5Br12", "functional": "PBE", "state": "relaxed", "formation_energy_uncorrected_ev_per_atom": -0.6433, "dos_at_fermi_per_ev_cell": 54.58, "cell": [[14.930, 0.000, 0.000], [-4.977, 14.076, 0.000], [-4.977, -7.038, 12.190]], "species": ["Cs", "Cs", "Cs", "Cs", "Cs", "Cs", "Cs", "Cs", "Cs", "Cs", "Cs", "Cs", "Co", "Co", "Co", "Co", "Co", "Co", "Co", "Co", "Co", "Co", "Co", "Co", "Co", "Co", "Co", "Co", "Co", "Co", "Co", "Co", "Br", "Br", "Br", "Br", "Br", "Br", "Br", "Br", "Br", "Br", "Br", "Br", "Br", "Br", "Br", "Br", "Br", "Br", "Br", "Br", "Br", "Br", "Br", "Br", "Br", "Br", "Br", "Br", "Br", "Br", "Br", "Br", "Br", "Br", "Br", "Br", "Br", "Br", "Br", "Br", "Br", "Br", "Br", "Br", "Br", "Br", "Br", "Br"], "fractional_positions": [[0.750, 0.375, 0.125], [0.875, 0.750, 0.125], [0.375, 0.750, 0.625], [0.250, 0.125, 0.375], [0.875, 0.125, 0.250], [0.375, 0.625, 0.250], [0.625, 0.375, 0.750], [0.125, 0.875, 0.750], [0.750, 0.875, 0.625], [0.625, 0.250, 0.375], [0.125, 0.250, 0.875], [0.250, 0.625, 0.875], [0.125, 0.375, 0.250], [0.000, 0.500, 0.000], [0.000, 0.000, 0.000], [0.375, 0.250, 0.125], [0.500, 0.000, 0.500], [0.500, 0.500, 0.000], [0.125, 0.750, 0.375], [0.750, 0.125, 0.875], [0.750, 0.625, 0.375], [0.375, 0.125, 0.750], [0.625, 0.875, 0.250], [0.500, 0.500, 0.500], [0.500, 0.000, 0.000], [0.000, 0.000, 0.500], [0.250, 0.375, 0.625], [0.250, 0.875, 0.125], [0.000, 0.500, 0.500], [0.875, 0.250, 0.625], [0.625, 0.750, 0.875], [0.875, 0.625, 0.750], [0.688, 0.100, 0.002], [0.314, 0.502, 0.402], [0.998, 0.400, 0.312], [0.502, 0.188, 0.100], [0.588, 0.688, 0.686], [0.998, 0.598, 0.186], [0.314, 0.812, 0.412], [0.098, 0.912, 0.100], [0.598, 0.998, 0.686], [0.688, 0.588, 0.186], [0.812, 0.498, 0.400], [0.814, 0.902, 0.002], [0.100, 0.688, 0.502], [0.400, 0.402, 0.088], [0.088, 0.902, 0.400], [0.412, 0.100, 0.598], [0.088, 0.186, 0.188], [0.498, 0.686, 0.098], [0.814, 0.912, 0.312], [0.100, 0.412, 0.098], [0.400, 0.998, 0.812], [0.598, 0.600, 0.412], [0.902, 0.814, 0.502], [0.812, 0.314, 0.912], [0.402, 0.400, 0.588], [0.098, 0.186, 0.498], [0.188, 0.686, 0.088], [0.186, 0.088, 0.688], [0.600, 0.002, 0.188], [0.900, 0.588, 0.902], [0.502, 0.314, 0.902], [0.588, 0.900, 0.402], [0.912, 0.814, 0.812], [0.912, 0.098, 0.600], [0.900, 0.312, 0.498], [0.186, 0.098, 0.998], [0.600, 0.598, 0.912], [0.402, 0.002, 0.314], [0.312, 0.412, 0.814], [0.188, 0.502, 0.600], [0.902, 0.088, 0.900], [0.686, 0.188, 0.588], [0.498, 0.812, 0.900], [0.002, 0.402, 0.814], [0.412, 0.312, 0.314], [0.002, 0.600, 0.688], [0.686, 0.498, 0.598], [0.312, 0.900, 0.998]]}

***

2.
{"formula": "CsCoBr2", "functional": "PBE", "state": "relaxed", "formation_energy_uncorrected_ev_per_atom": -0.0814, "dos_at_fermi_per_ev_cell": 11.62, "cell": [[0.000, 3.969, 3.969], [3.969, 0.000, 3.969], [3.969, 3.969, 0.000]], "species": ["Cs", "Co", "Br", "Br"], "fractional_positions": [[0.500, 0.500, 0.500], [0.000, 0.000, 0.000], [0.250, 0.250, 0.250], [0.750, 0.750, 0.750]]}

***

3.
{"formula": "Cs5CoBr8", "functional": "PBE", "state": "relaxed", "formation_energy_uncorrected_ev_per_atom": -1.2926, "dos_at_fermi_per_ev_cell": 0.65, "cell": [[-7.847, -2.444, -5.035], [7.296, 3.085, -5.492], [1.912, -8.196, 4.698]], "species": ["Cs", "Cs", "Cs", "Cs", "Cs", "Co", "Br", "Br", "Br", "Br", "Br", "Br", "Br", "Br"], "fractional_positions": [[0.028, 0.423, 0.177], [0.823, 0.850, 0.246], [0.754, 0.577, 0.604], [0.500, 0.000, 0.500], [0.396, 0.150, 0.972], [0.250, 0.500, 0.750], [0.160, 0.673, 0.901], [0.099, 0.259, 0.772], [0.704, 0.185, 0.291], [0.709, 0.414, 0.894], [0.480, 0.586, 0.296], [0.513, 0.741, 0.840], [0.228, 0.327, 0.487], [0.106, 0.815, 0.520]]}

***

4.
{"formula": "CsCoBr2", "functional": "PBE", "state": "relaxed", "formation_energy_uncorrected_ev_per_atom": -0.6908, "dos_at_fermi_per_ev_cell": 2.98, "cell": [[7.967, 0.000, 0.000], [0.000, 7.967, 0.000], [3.983, 3.983, 4.095]], "species": ["Cs", "Cs", "Co", "Co", "Br", "Br", "Br", "Br"], "fractional_positions": [[0.000, 0.000, 0.000], [0.750, 0.250, 0.500], [0.500, 0.500, 0.000], [0.250, 0.750, 0.500], [0.501, 0.125, 0.250], [0.249, 0.625, 0.250], [0.375, 0.499, 0.750], [0.875, 0.751, 0.750]]}

***

5.
{"formula": "CsCo3Br", "functional": "PBE", "state": "relaxed", "formation_energy_uncorrected_ev_per_atom": 2.2841, "dos_at_fermi_per_ev_cell": 3.97, "cell": [[-1.181, -3.926, -2.767], [0.192, -2.886, 4.013], [-4.800, 0.850, 0.841]], "species": ["Cs", "Co", "Co", "Co", "Br"], "fractional_positions": [[0.000, 0.000, 0.000], [0.000, 0.500, 0.000], [0.000, 0.000, 0.500], [0.500, 0.000, 0.000], [0.500, 0.500, 0.500]]}

***

6.
{"formula": "Cs3CoBr", "functional": "PBE", "state": "relaxed", "formation_energy_uncorrected_ev_per_atom": 0.0149, "dos_at_fermi_per_ev_cell": 4.68, "cell": [[-5.790, 0.054, 2.696], [-1.542, -5.305, -3.206], [2.212, -3.557, 4.822]], "species": ["Cs", "Cs", "Cs", "Co", "Br"], "fractional_positions": [[0.000, 0.500, 0.000], [0.000, 0.000, 0.500], [0.500, 0.000, 0.000], [0.000, 0.000, 0.000], [0.500, 0.500, 0.500]]}

***

7.
{"formula": "CsCoBr3", "functional": "PBE", "state": "relaxed", "formation_energy_uncorrected_ev_per_atom": -0.8468, "dos_at_fermi_per_ev_cell": 6.46, "cell": [[4.113, 0.000, 0.000], [0.000, 9.813, 0.000], [0.000, 0.000, 16.258]], "species": ["Cs", "Cs", "Cs", "Cs", "Co", "Co", "Co", "Co", "Br", "Br", "Br", "Br", "Br", "Br", "Br", "Br", "Br", "Br", "Br", "Br"], "fractional_positions": [[0.250, 0.946, 0.329], [0.750, 0.054, 0.671], [0.750, 0.554, 0.829], [0.250, 0.446, 0.171], [0.250, 0.652, 0.547], [0.750, 0.348, 0.453], [0.750, 0.848, 0.047], [0.250, 0.152, 0.953], [0.750, 0.251, 0.311], [0.250, 0.698, 0.998], [0.250, 0.019, 0.088], [0.250, 0.519, 0.412], [0.250, 0.198, 0.502], [0.750, 0.481, 0.588], [0.250, 0.249, 0.811], [0.750, 0.981, 0.912], [0.750, 0.302, 0.002], [0.750, 0.751, 0.189], [0.750, 0.802, 0.498], [0.250, 0.749, 0.689]]}

***

8.
{"formula": "CsCoBr3", "functional": "PBE", "state": "relaxed", "formation_energy_uncorrected_ev_per_atom": -0.9296, "cell": [[-0.663, 6.538, 6.389], [-5.645, -5.553, -2.087], [2.557, -4.378, 4.453]], "species": ["Cs", "Cs", "Co", "Co", "Br", "Br", "Br", "Br", "Br", "Br"], "fractional_positions": [[0.590, 0.180, 0.227], [0.279, 0.449, 0.725], [0.017, 0.739, 0.831], [0.854, 0.890, 0.121], [0.847, 0.394, 0.723], [0.023, 0.753, 0.195], [0.327, 0.962, 0.728], [0.848, 0.877, 0.758], [0.022, 0.235, 0.229], [0.544, 0.665, 0.223]]}

***

9.
{"formula": "Cs3Co2Br8", "functional": "PBE", "state": "relaxed", "formation_energy_uncorrected_ev_per_atom": -1.0408, "dos_at_fermi_per_ev_cell": 14.40, "cell": [[7.223, 0.000, 2.729], [3.096, 6.526, 2.729], [-0.045, -0.029, 11.044]], "species": ["Cs", "Cs", "Cs", "Co", "Co", "Br", "Br", "Br", "Br", "Br", "Br", "Br", "Br"], "fractional_positions": [[0.000, 0.000, 0.000], [0.211, 0.211, 0.368], [0.789, 0.789, 0.632], [0.410, 0.410, 0.771], [0.590, 0.590, 0.229], [0.332, 0.332, 0.003], [0.668, 0.668, 0.997], [0.270, 0.769, 0.691], [0.769, 0.270, 0.691], [0.270, 0.270, 0.691], [0.231, 0.730, 0.309], [0.730, 0.231, 0.309], [0.730, 0.730, 0.309]]}

***

10.
{"formula": "Cs3CoBr6", "functional": "PBE", "state": "relaxed", "formation_energy_uncorrected_ev_per_atom": -1.1567, "dos_at_fermi_per_ev_cell": 25.73, "cell": [[6.155, 0.000, 0.000], [0.000, 11.592, -3.472], [0.000, 0.354, 12.096]], "species": ["Cs", "Cs", "Cs", "Cs", "Cs", "Cs", "Co", "Co", "Br", "Br", "Br", "Br", "Br", "Br", "Br", "Br", "Br", "Br", "Br", "Br"], "fractional_positions": [[0.602, 0.889, 0.693], [0.102, 0.693, 0.889], [0.117, 0.417, 0.583], [0.617, 0.583, 0.417], [0.102, 0.111, 0.307], [0.602, 0.307, 0.111], [0.096, 0.189, 0.811], [0.596, 0.811, 0.189], [0.107, 0.731, 0.591], [0.607, 0.591, 0.731], [0.217, 0.377, 0.887], [0.717, 0.887, 0.377], [0.198, 0.071, 0.929], [0.721, 0.198, 0.802], [0.221, 0.802, 0.198], [0.698, 0.929, 0.071], [0.217, 0.113, 0.623], [0.717, 0.623, 0.113], [0.107, 0.409, 0.269], [0.607, 0.269, 0.409]]}

***

11.
{"formula": "Cs3CoBr8", "functional": "PBE", "state": "relaxed", "formation_energy_uncorrected_ev_per_atom": -0.6800, "dos_at_fermi_per_ev_cell": 23.33, "cell": [[-1.487, -7.317, 3.130], [6.818, 0.471, 4.342], [-6.678, 6.778, 2.201]], "species": ["Cs", "Cs", "Cs", "Co", "Br", "Br", "Br", "Br", "Br", "Br", "Br", "Br"], "fractional_positions": [[0.750, 0.250, 0.500], [0.500, 0.500, 0.000], [0.250, 0.750, 0.500], [0.000, 0.000, 0.000], [0.304, 0.304, 0.205], [0.304, 0.901, 0.205], [0.099, 0.696, 0.795], [0.099, 0.099, 0.795], [0.901, 0.901, 0.205], [0.901, 0.304, 0.205], [0.696, 0.099, 0.795], [0.696, 0.696, 0.795]]}

***

12.
{"formula": "Cs2CoBr5", "functional": "PBE", "state": "relaxed", "formation_energy_uncorrected_ev_per_atom": -1.0484, "dos_at_fermi_per_ev_cell": 6.99, "cell": [[7.595, 0.136, 0.194], [-3.620, 6.677, -0.194], [-3.620, -2.454, 6.213]], "species": ["Cs", "Cs", "Co", "Br", "Br", "Br", "Br", "Br"], "fractional_positions": [[0.500, 0.239, 0.739], [0.500, 0.739, 0.239], [0.000, 0.028, 0.028], [0.575, 0.775, 0.775], [0.000, 0.775, 0.201], [0.000, 0.201, 0.775], [0.425, 0.201, 0.201], [0.000, 0.264, 0.264]]}